The following is a DFT calculation (GGA-PBE) of a relaxed CaCo3 crystal.

Cell lengths 4.071, 5.494, 6.214 Å; angles 90.00, 90.00, 90.00 degrees
Element x y z (fractional)
Ca: 0.000 0.614 0.000
Ca: 0.500 0.386 0.500
Co: 0.500 0.143 0.000
Co: 0.000 0.857 0.500
Co: 0.000 0.094 0.187
Co: 0.000 0.094 0.813
Co: 0.500 0.906 0.687
Co: 0.500 0.906 0.313

## Properties
M_tot (μB per cell): 8.48


The following is a DFT calculation (GGA-PBE) of a relaxed CaCo3 crystal.

Cell lengths 5.756, 4.926, 8.500 Å; angles 90.00, 90.00, 90.00 degrees
Element x y z (fractional)
Ca: 0.599 0.927 0.750
Ca: 0.099 0.573 0.250
Ca: 0.901 0.427 0.750
Ca: 0.401 0.073 0.250
Co: 0.141 0.890 0.750
Co: 0.641 0.610 0.250
Co: 0.359 0.390 0.750
Co: 0.859 0.110 0.250
Co: 0.658 0.349 0.025
Co: 0.158 0.151 0.975
Co: 0.842 0.849 0.475
Co: 0.342 0.651 0.525
Co: 0.342 0.651 0.975
Co: 0.842 0.849 0.025
Co: 0.158 0.151 0.525
Co: 0.658 0.349 0.475

## Properties
M_tot (μB per cell): 17.33


The following is a DFT calculation (GGA-PBE) of a relaxed Ca3Co crystal.

Cell lengths 5.411, 5.411, 5.411 Å; angles 60.00, 60.00, 60.00 degrees
Element x y z (fractional)
Ca: 0.000 0.000 0.000
Ca: 0.750 0.750 0.750
Ca: 0.500 0.500 0.500
Co: 0.250 0.250 0.250

## Properties
M_tot (μB per cell): 0.67


The following is a DFT calculation (GGA-PBE) of a relaxed Ca3Co crystal.

Cell lengths 6.778, 6.778, 6.778 Å; angles 149.09, 130.88, 59.18 degrees
Element x y z (fractional)
Ca: 0.070 0.070 0.000
Ca: 0.750 0.250 0.500
Ca: 0.430 0.430 0.000
Co: 0.250 0.750 0.500

## Properties
M_tot (μB per cell): 0.37


The following is a DFT calculation (GGA-PBE) of a relaxed Ca3Co crystal.

Cell lengths 6.965, 6.965, 10.954 Å; angles 90.00, 90.00, 120.00 degrees
Element x y z (fractional)
Ca: 0.500 0.000 0.000
Ca: 0.500 0.000 0.500
Ca: 0.000 0.500 0.000
Ca: 0.500 0.500 0.000
Ca: 0.500 0.500 0.500
Ca: 0.000 0.500 0.500
Ca: 0.843 0.686 0.250
Ca: 0.157 0.314 0.750
Ca: 0.314 0.157 0.250
Ca: 0.843 0.157 0.250
Ca: 0.157 0.843 0.750
Ca: 0.686 0.843 0.750
Co: 0.000 0.000 0.000
Co: 0.000 0.000 0.500
Co: 0.333 0.667 0.250
Co: 0.667 0.333 0.750

## Properties
M_tot (μB per cell): 3.64


The following is a DFT calculation (GGA-PBE) of a relaxed Ca3Co crystal.

Cell lengths 4.882, 4.882, 4.882 Å; angles 90.00, 90.00, 90.00 degrees
Element x y z (fractional)
Ca: 0.000 0.500 0.500
Ca: 0.500 0.000 0.500
Ca: 0.500 0.500 0.000
Co: 0.000 0.000 0.000

## Properties
M_tot (μB per cell): 1.18


What calculated formation energy values result from the calculations? In sequence: 112, 370, 453, 254, 401, 414 meV/atom.
What D(E_F) values result from the calculations? In sequence: 6.78, 16.14, 7.11, 4.62, 18.17, 3.96 states/eV per cell.